Compound: MgTcRh2
Source: Alexandria
Functional: PBE
Structure: relaxed

Properties
Total magnetic moment (Bohr magnetons per cell): 0.000
Formation energy (meV per atom): -58.7
Space-group type: No. 12
Calculated total energy (eV for the cell shown): -26.9
ρ (g cm⁻³): 9.20
V (A^3/atom): 14.81

Structure (CIF):
```
data_MgTcRh2
_symmetry_space_group_name_H-M 'P 1'
_symmetry_Int_Tables_number 1
_cell_length_a 4.7048
_cell_length_b 4.7048
_cell_length_c 4.8701
_cell_angle_alpha 97.94
_cell_angle_beta 97.94
_cell_angle_gamma 33.74
loop_
_symmetry_equiv_pos_as_xyz
'x,y,z'
loop_
_atom_site_label
_atom_site_type_symbol
_atom_site_fract_x
_atom_site_fract_y
_atom_site_fract_z
Mg1 Mg 0.0000 0.0000 0.0000
Tc1 Tc 0.5000 0.5000 0.5000
Rh1 Rh 0.2477 0.2477 0.7403
Rh2 Rh 0.7523 0.7523 0.2597
```

Compound: MgTcRh
Source: Alexandria
Functional: PBE
Structure: relaxed

Properties
Total magnetic moment (Bohr magnetons per cell): 0.412
Formation energy (meV per atom): -80.2
Space-group type: No. 107
Calculated total energy (eV for the cell shown): -19.6
E above lowest polymorph (meV per atom): 93
ρ (g cm⁻³): 8.09
V (A^3/atom): 15.40

Structure (CIF):
```
data_MgTcRh
_symmetry_space_group_name_H-M 'P 1'
_symmetry_Int_Tables_number 1
_cell_length_a 6.0525
_cell_length_b 6.0525
_cell_length_c 6.0525
_cell_angle_alpha 152.81
_cell_angle_beta 152.81
_cell_angle_gamma 38.83
loop_
_symmetry_equiv_pos_as_xyz
'x,y,z'
loop_
_atom_site_label
_atom_site_type_symbol
_atom_site_fract_x
_atom_site_fract_y
_atom_site_fract_z
Mg1 Mg 0.0000 0.0000 0.0000
Tc1 Tc 0.6829 0.6829 0.0000
Rh1 Rh 0.3304 0.3304 0.0000
```

Compound: MgTc2Rh
Source: Alexandria
Functional: PBE
Structure: relaxed

Properties
Total magnetic moment (Bohr magnetons per cell): 0.006
Formation energy (meV per atom): 63.0
Space-group type: No. 216
Calculated total energy (eV for the cell shown): -29.4
ρ (g cm⁻³): 9.05
V (A^3/atom): 14.82

Structure (CIF):
```
data_MgTc2Rh
_symmetry_space_group_name_H-M 'P 1'
_symmetry_Int_Tables_number 1
_cell_length_a 4.3766
_cell_length_b 4.3766
_cell_length_c 4.3766
_cell_angle_alpha 60.00
_cell_angle_beta 60.00
_cell_angle_gamma 60.00
loop_
_symmetry_equiv_pos_as_xyz
'x,y,z'
loop_
_atom_site_label
_atom_site_type_symbol
_atom_site_fract_x
_atom_site_fract_y
_atom_site_fract_z
Mg1 Mg 0.0000 0.0000 0.0000
Tc1 Tc 0.5000 0.5000 0.5000
Tc2 Tc 0.7500 0.7500 0.7500
Rh1 Rh 0.2500 0.2500 0.2500
```

Compound: MgTc2Rh
Source: Alexandria
Functional: PBE
Structure: relaxed

Properties
Total magnetic moment (Bohr magnetons per cell): 0.001
Formation energy (meV per atom): 147.5
Space-group type: No. 123
Calculated total energy (eV for the cell shown): -29.1
ρ (g cm⁻³): 8.84
V (A^3/atom): 15.19

Structure (CIF):
```
data_MgTc2Rh
_symmetry_space_group_name_H-M 'P 1'
_symmetry_Int_Tables_number 1
_cell_length_a 2.6926
_cell_length_b 2.6926
_cell_length_c 8.3789
_cell_angle_alpha 90.00
_cell_angle_beta 90.00
_cell_angle_gamma 90.00
loop_
_symmetry_equiv_pos_as_xyz
'x,y,z'
loop_
_atom_site_label
_atom_site_type_symbol
_atom_site_fract_x
_atom_site_fract_y
_atom_site_fract_z
Mg1 Mg 0.0000 0.0000 0.0000
Tc1 Tc 0.5000 0.5000 0.2648
Tc2 Tc 0.5000 0.5000 0.7352
Rh1 Rh 0.0000 0.0000 0.5000
```

Which formula does entry 1 have?
MgTcRh2